Record 1
The following is a DFT calculation (PBE-GGA) of a geometry-optimized SmTlGa structure.

The structure in extended XYZ format:
```
6
Lattice="-1.6213 -4.3741 -0.1756 2.8502 -1.9016 3.1706 -5.8361 5.9408 3.4091" Properties=species:S:1:pos:R:3 pbc="T T T"
Sm -3.5610 0.1680 4.6344
Ga -1.8095 -2.2190 4.0577
Tl 0.1438 -4.0180 2.7768
Tl -4.7510 3.6831 3.6273
Sm -1.0462 -0.5029 1.7697
Ga -2.7977 1.8841 2.3464
```

Output
**Energy of formation from the pure elements**: -232 meV/atom
**Excess energy over the best structure of this formula in the dataset**: 157 meV per atom

Record 2
The following is a DFT calculation (PBE-GGA) of a geometry-optimized Lu2InCu2 structure.

The structure in extended XYZ format:
```
10
Lattice="3.6510 0.0000 0.0000 0.0000 7.4263 0.0000 0.0000 0.0000 7.4263" Properties=species:S:1:pos:R:3 pbc="T T T"
In 0.0000 0.0000 0.0000
Lu 1.8255 2.4600 1.2532
Cu 0.0000 0.9102 2.8029
Cu 0.0000 6.5161 4.6233
Lu 1.8255 6.1731 2.4600
Lu 1.8255 4.9663 6.1731
Cu 0.0000 2.8029 6.5161
Cu 0.0000 4.6233 0.9102
In 0.0000 3.7131 3.7131
Lu 1.8255 1.2532 4.9663
```

Output
**Energy of formation from the pure elements**: -407 meV/atom

Record 3
The following is a DFT calculation (PBE-GGA) of a geometry-optimized KSc2Nb structure.

The structure in extended XYZ format:
```
8
Lattice="-3.9865 5.3525 -3.8196 -5.3243 -0.0061 5.5482 -1.8976 6.6188 3.5150" Properties=species:S:1:pos:R:3 pbc="T T T"
Sc -5.5754 9.6467 -0.0139
Sc -3.5852 6.9705 1.8990
K -5.9386 4.6429 4.9638
Sc -7.2914 6.3358 1.0031
K -4.6554 2.6732 0.8643
Sc -4.6270 6.3358 -1.7688
Nb 0.0000 0.0000 0.0000
Nb -5.2697 7.3222 0.2799
```

Output
**Energy of formation from the pure elements**: 1278 meV/atom
**Excess energy over the best structure of this formula in the dataset**: 847 meV per atom

Record 4
The following is a DFT calculation (PBE-GGA) of a geometry-optimized InSi2O structure.

The structure in extended XYZ format:
```
8
Lattice="-2.4842 -2.9828 2.6820 -1.9060 -1.8981 -3.8763 2.5243 -6.6180 -0.8721" Properties=species:S:1:pos:R:3 pbc="T T T"
Si -1.6546 -8.9419 -1.1020
O -2.1951 -2.4404 -0.5972
Si -0.0467 -7.0862 -1.6990
O -0.7884 -5.4782 -2.6728
In 0.0000 0.0000 0.0000
Si -1.2533 -3.6731 -1.8924
Si -0.7771 -3.2966 0.5606
In -1.0775 -6.0206 0.6064
```

Output
**Formation energy from raw total energies**: -161 meV per atom
**Excess energy over the best structure of this formula in the dataset**: 0 meV per atom

Record 5
The following is a DFT calculation (PBE-GGA) of a geometry-optimized K3La2SmS6 structure.

The structure in extended XYZ format:
```
12
Lattice="7.3522 -0.0012 0.0001 -3.6754 6.3677 0.0001 -1.2263 -2.1234 7.3756" Properties=species:S:1:pos:R:3 pbc="T T T"
La 3.6759 2.1220 0.0001
K -2.4494 4.2438 3.6879
S 2.4021 -0.0006 1.5271
La 0.0010 4.2444 0.0001
K 1.2253 2.1215 3.6879
S 3.6516 2.1628 5.8488
S -1.2010 2.0803 1.5271
S 2.4757 4.2867 1.5246
S 0.0484 4.2437 5.8488
Sm 0.0000 0.0000 0.0000
K 4.9000 -0.0007 3.6879
S -0.0252 -0.0436 5.8512
```

Output
**Formation energy from raw total energies**: -1902 meV per atom

Record 6
The following is a DFT calculation (PBE-GGA) of a geometry-optimized CaCdRe2 structure.

The structure in extended XYZ format:
```
4
Lattice="3.5809 0.0000 0.0000 0.0000 3.5809 0.0000 0.0000 0.0000 6.5128" Properties=species:S:1:pos:R:3 pbc="T T T"
Re 0.0000 0.0000 3.7105
Ca 1.7904 1.7904 1.6282
Re 0.0000 0.0000 6.0587
Cd 1.7904 1.7904 4.8846
```

Output
**Energy of formation from the pure elements**: 956 meV/atom

Record 7
The following is a DFT calculation (PBE-GGA) of a geometry-optimized CaMo2Pt structure.

The structure in extended XYZ format:
```
4
Lattice="-2.2817 0.9256 -9.8291 -2.9140 -1.8659 -9.5237 -4.8810 0.1342 -8.8787" Properties=species:S:1:pos:R:3 pbc="T T T"
Ca -7.5575 -0.6046 -21.1736
Mo -9.9947 -0.7996 -28.0019
Pt -2.5192 -0.2015 -7.0579
Mo -5.1203 -0.4096 -14.3454
```

Output
**Energy of formation from the pure elements**: 530 meV/atom
**Excess energy over the best structure of this formula in the dataset**: 480 meV per atom

Record 8
The following is a DFT calculation (PBE-GGA) of a geometry-optimized CaTl2Zn structure.

The structure in extended XYZ format:
```
4
Lattice="3.7332 0.0402 0.0000 -0.2045 3.7278 0.0000 0.0000 0.0000 7.4167" Properties=species:S:1:pos:R:3 pbc="T T T"
Ca 1.7644 1.8840 5.5625
Tl 0.0000 0.0000 0.2390
Zn 1.7644 1.8840 1.8542
Tl 0.0000 0.0000 3.4694
```

Output
**Energy of formation from the pure elements**: -115 meV/atom

Record 9
The following is a DFT calculation (PBE-GGA) of a geometry-optimized Dy2Mn3Si5 structure.

The structure in extended XYZ format:
```
40
Lattice="10.5654 0.0000 0.0000 0.0000 10.5654 0.0000 0.0000 0.0000 5.4182" Properties=species:S:1:pos:R:3 pbc="T T T"
Dy 7.7845 4.4899 2.7091
Si 10.3134 3.3267 2.7091
Mn 6.8141 6.5588 0.0000
Mn 9.0340 1.2761 2.7091
Si 3.4341 8.7168 1.3545
Mn 1.2761 1.5314 2.7091
Si 0.0000 0.0000 4.0232
Si 8.6094 5.0307 0.0000
Mn 0.0000 5.2827 1.3545
Dy 8.0636 9.7726 0.0000
Dy 2.5018 0.7927 0.0000
Si 1.8485 3.4341 1.3545
Mn 5.2827 0.0000 1.3545
Dy 4.4899 2.7809 2.7091
Si 7.1312 1.8485 4.0636
Si 5.5347 8.6094 0.0000
Si 1.9560 5.5347 0.0000
Si 8.7168 7.1312 4.0636
Si 8.7168 7.1312 1.3545
Si 7.1312 1.8485 1.3545
Mn 4.0065 6.8141 0.0000
Si 3.3267 0.2520 2.7091
Dy 6.0754 7.7845 2.7091
Mn 6.5588 3.7513 0.0000
Si 5.2827 5.2827 4.1040
Si 0.0000 0.0000 1.3949
Mn 5.2827 0.0000 4.0636
Si 5.0307 1.9560 0.0000
Si 1.8485 3.4341 4.0636
Dy 2.7809 6.0754 2.7091
Si 3.4341 8.7168 4.0636
Dy 0.7927 8.0636 0.0000
Si 7.2386 10.3134 2.7091
Mn 9.2892 9.0340 2.7091
Mn 1.5314 9.2892 2.7091
Mn 0.0000 5.2827 4.0636
Si 5.2827 5.2827 1.3142
Dy 9.7726 2.5018 0.0000
Si 0.2520 7.2386 2.7091
Mn 3.7513 4.0065 0.0000
```

Output
**Formation energy from raw total energies**: -625 meV per atom

Record 10
The following is a DFT calculation (PBE-GGA) of a geometry-optimized YCdCl3 structure.

The structure in extended XYZ format:
```
5
Lattice="-3.4436 -3.4249 -1.9624 0.1191 -2.6932 4.4913 -3.9454 2.9080 1.8484" Properties=species:S:1:pos:R:3 pbc="T T T"
Cd 0.0000 0.0000 0.0000
Y -3.6350 -1.6050 2.1886
Cl -1.9727 1.4540 0.9242
Cl -1.7218 -1.7124 -0.9812
Cl 0.0596 -1.3466 2.2456
```

Output
**Formation energy from raw total energies**: -592 meV per atom
**Excess energy over the best structure of this formula in the dataset**: 990 meV per atom

Record 11
The following is a DFT calculation (PBE-GGA) of a geometry-optimized Ga2WCBr structure.

The structure in extended XYZ format:
```
5
Lattice="5.1359 0.0000 0.0000 0.0000 3.7762 0.0000 0.0000 0.0000 5.1359" Properties=species:S:1:pos:R:3 pbc="T T T"
Ga 2.5679 0.0000 0.0000
Ga 0.0000 0.0000 2.5679
C 0.0000 1.8881 0.0000
Br 0.0000 0.0000 0.0000
W 2.5679 1.8881 2.5679
```

Output
**Formation energy from raw total energies**: 2306 meV per atom

Record 12
The following is a DFT calculation (PBE-GGA) of a geometry-optimized Sc2FeGe2 structure.

The structure in extended XYZ format:
```
10
Lattice="5.5899 0.0000 0.0000 0.0000 5.6633 0.0000 -2.7949 -2.8316 5.6838" Properties=species:S:1:pos:R:3 pbc="T T T"
Ge 0.0000 1.6719 4.6860
Sc 0.0000 1.5099 1.8175
Sc 0.0000 -1.3217 3.8663
Ge 2.7949 -1.6719 4.6860
Fe 4.1924 2.8316 0.0000
Ge 0.0000 4.5035 0.9979
Sc 2.7949 1.3217 3.8663
Sc 2.7949 4.1533 1.8175
Fe 1.3975 2.8316 0.0000
Ge 2.7949 1.1598 0.9979
```

Output
**Energy of formation from the pure elements**: -543 meV/atom

Record 13
The following is a DFT calculation (PBE-GGA) of a geometry-optimized CaPrGaGe structure.

The structure in extended XYZ format:
```
4
Lattice="5.2195 0.0000 0.0000 2.6098 4.5202 0.0000 2.6098 1.5067 4.2617" Properties=species:S:1:pos:R:3 pbc="T T T"
Ge 2.6098 1.5067 1.0654
Ca 5.2195 3.0135 2.1309
Ga 7.8293 4.5202 3.1963
Pr 0.0000 0.0000 0.0000
```

Output
**Energy of formation from the pure elements**: -514 meV/atom
**Excess energy over the best structure of this formula in the dataset**: 163 meV per atom

Which raw total energy belongs to each record? In order, -3.602; -4.402; -4.679; -4.797; -5.454; -5.997; -6.896; -2.117; -7.008; -3.176; -3.675; -6.615; -4.120 eV per atom.